NiAuO2F: relaxed, GGA+U.

```
5
Lattice="3.899 0.000 0.000 0.000 3.899 0.000 0.000 0.000 3.821" Properties=species:S:1:pos:R:3 pbc="T T T"
Ni 0.000 0.000 0.000
Au 1.949 1.949 1.910
O 0.000 1.949 0.000
O 1.949 0.000 0.000
F 0.000 0.000 1.910
```

Output
E_tot: -3.759 eV/atom
Total magnetic moment: 2.9 μB/f.u.
Space group: P4/mmm (123)